Entry 1:
Computed, not measured: an optimized crystal structure of ScPtI3 at the PBE-GGA level of DFT.

Cell: 5.475 5.475 5.475 Å, 90.00 90.00 90.00°
Space group Pm-3m (No. 221)
One atom of each set of equivalent atoms:
Sc1 0.000 0.000 0.000 [1 per cell]
Pt1 0.500 0.500 0.500 [1 per cell]
I1 0.000 0.500 0.500 [3 per cell]

Computed properties:
total energy: -3.3092 eV per atom
DOS at the Fermi energy: 2.129 states/eV/atom
distance to the lowest polymorph of the same formula: 0.0 meV/atom
energy relative to the elements, uncorrected: 46 kJ/mol of formula units

Entry 2:
Computed, not measured: an optimized crystal structure of Sm3YIn at the PBE-GGA level of DFT.

Cell: 16.425 5.518 3.598 Å, 90.00 102.62 90.00°
Space group Cm (No. 8)
One atom of each set of equivalent atoms:
Sm1 0.000 0.000 0.000 [2 per cell]
Sm2 0.077 0.500 0.578 [2 per cell]
Sm3 0.195 0.000 0.695 [2 per cell]
Y1 0.296 0.500 0.295 [2 per cell]
In1 0.391 0.000 0.892 [2 per cell]

Computed properties:
total energy: -4.7826 eV per atom
DOS at the Fermi energy: 1.173 states/eV/atom
distance to the lowest polymorph of the same formula: 82.1 meV/atom
energy relative to the elements: -0.553 eV per formula unit

Entry 3:
Computed, not measured: an optimized crystal structure of Er2Ga4Ni3Ir at the PBE-GGA level of DFT.

Cell: 4.020 4.020 10.253 Å, 90.00 90.00 90.00°
Space group P-4m2 (No. 115)
One atom of each set of equivalent atoms:
Er1 0.000 0.500 0.248 [2 per cell]
Ga1 0.000 0.000 0.000 [1 per cell]
Ga2 0.000 0.500 0.638 [2 per cell]
Ga3 0.500 0.500 0.000 [1 per cell]
Ni1 0.000 0.500 0.867 [2 per cell]
Ni2 0.500 0.500 0.500 [1 per cell]
Ir1 0.000 0.000 0.500 [1 per cell]

Computed properties:
total energy: -5.3554 eV per atom
DOS at the Fermi energy: 0.680 states/eV/atom
energy relative to the elements: -6.116 eV per formula unit

Entry 4:
Computed, not measured: an optimized crystal structure of TiSn2Mo at the PBE-GGA level of DFT.

Cell: 6.699 6.699 6.699 Å, 90.00 90.00 90.00°
Space group Fm-3m (No. 225)
One atom of each set of equivalent atoms:
Ti1 0.000 0.000 0.000 [4 per cell]
Sn1 0.250 0.250 0.250 [8 per cell]
Mo1 0.000 0.000 0.500 [4 per cell]

Computed properties:
total energy: -6.5914 eV per atom
DOS at the Fermi energy: 0.678 states/eV/atom
distance to the lowest polymorph of the same formula: 0.0 meV/atom
energy relative to the elements: 0.366 eV per formula unit

Entry 5:
Computed, not measured: an optimized crystal structure of CeICl at the PBE-GGA level of DFT.

Cell: 4.965 4.144 8.613 Å, 90.00 90.01 90.00°
Space group P2_1/m (No. 11)
One atom of each set of equivalent atoms:
Ce1 0.249 0.250 0.273 [2 per cell]
I1 0.250 0.250 0.869 [2 per cell]
Cl1 0.250 0.750 0.521 [2 per cell]

Computed properties:
total energy: -4.6038 eV per atom
DOS at the Fermi energy: 2.672 states/eV/atom
distance to the lowest polymorph of the same formula: 53.9 meV/atom
energy relative to the elements, uncorrected: -432 kJ/mol of formula units

Entry 6:
Computed, not measured: an optimized crystal structure of Th4HgOs at the PBE-GGA level of DFT.

Cell: 7.426 7.426 6.113 Å, 90.00 90.00 90.00°
Space group P4/mcc (No. 124)
One atom of each set of equivalent atoms:
Th1 0.143 0.321 0.000 [8 per cell]
Hg1 0.500 0.500 0.250 [2 per cell]
Os1 0.000 0.000 0.250 [2 per cell]

Computed properties:
total energy: -7.1093 eV per atom
DOS at the Fermi energy: 1.257 states/eV/atom
distance to the lowest polymorph of the same formula: 0.0 meV/atom
energy relative to the elements: -1.445 eV per formula unit

Entry 7:
Computed, not measured: an optimized crystal structure of Li4Pm at the PBE-GGA level of DFT.

Cell: 5.794 5.794 5.794 Å, 90.00 90.00 90.00°
Space group Pm-3m (No. 221)
One atom of each set of equivalent atoms:
Li1 0.000 0.000 0.000 [1 per cell]
Li2 0.000 0.500 0.500 [3 per cell]
Pm1 0.500 0.500 0.500 [1 per cell]

Computed properties:
total energy: -1.5356 eV per atom
DOS at the Fermi energy: 1.243 states/eV/atom
energy relative to the elements: 4.728 eV per formula unit

Entry 8:
Computed, not measured: an optimized crystal structure of K3NbPb2Se6 at the PBE-GGA level of DFT.

Cell: 7.450 12.883 7.884 Å, 90.00 108.58 90.00°
Space group C2/m (No. 12)
One atom of each set of equivalent atoms:
K1 0.000 0.000 0.000 [2 per cell]
K2 0.000 0.325 0.000 [4 per cell]
Nb1 0.000 0.500 0.500 [2 per cell]
Pb1 0.000 0.165 0.500 [4 per cell]
Se1 0.214 0.353 0.702 [8 per cell]
Se2 0.223 0.500 0.297 [4 per cell]

Computed properties:
total energy: -4.3635 eV per atom
energy relative to the elements, uncorrected: -1030 kJ/mol of formula units

Entry 9:
Computed, not measured: an optimized crystal structure of NdLuV4 at the PBE-GGA level of DFT.

Cell: 7.610 7.610 7.610 Å, 90.00 90.00 90.00°
Space group F-43m (No. 216)
One atom of each set of equivalent atoms:
Nd1 0.000 0.000 0.000 [4 per cell]
Lu1 0.250 0.250 0.250 [4 per cell]
V1 0.121 0.121 0.621 [16 per cell]

Computed properties:
total energy: -7.2628 eV per atom
DOS at the Fermi energy: 2.095 states/eV/atom
energy relative to the elements: 2.186 eV per formula unit

Entry 10:
Computed, not measured: an optimized crystal structure of Sc2OsSe at the PBE-GGA level of DFT.

Cell: 3.289 3.289 6.771 Å, 90.00 90.00 90.00°
Space group P4/mmm (No. 123)
One atom of each set of equivalent atoms:
Sc1 0.000 0.000 0.233 [2 per cell]
Os1 0.500 0.500 0.000 [1 per cell]
Se1 0.500 0.500 0.500 [1 per cell]

Computed properties:
total energy: -7.6935 eV per atom
DOS at the Fermi energy: 0.197 states/eV/atom
energy relative to the elements, uncorrected: -328 kJ/mol of formula units

Entry 11:
Computed, not measured: an optimized crystal structure of LaSm6Y3Ho2 at the PBE-GGA level of DFT.

Cell: 6.254 10.829 11.941 Å, 90.00 100.04 90.00°
Space group C2/m (No. 12)
One atom of each set of equivalent atoms:
La1 0.000 0.000 0.000 [2 per cell]
Sm1 0.248 0.333 0.749 [8 per cell]
Sm2 0.250 0.000 0.749 [4 per cell]
Y1 0.000 0.167 0.500 [4 per cell]
Y2 0.000 0.500 0.500 [2 per cell]
Ho1 0.000 0.333 0.000 [4 per cell]

Computed properties:
total energy: -5.1308 eV per atom
DOS at the Fermi energy: 1.353 states/eV/atom
energy relative to the elements: 0.220 eV per formula unit

Entry 12:
Computed, not measured: an optimized crystal structure of LaPbCl2 at the PBE-GGA level of DFT.

Cell: 5.438 4.044 10.420 Å, 90.00 90.00 90.00°
Space group Amm2 (No. 38)
One atom of each set of equivalent atoms:
La1 0.000 0.000 0.000 [2 per cell]
Pb1 0.500 0.000 0.600 [2 per cell]
Cl1 0.000 0.000 0.298 [2 per cell]
Cl2 0.500 0.000 0.871 [2 per cell]

Computed properties:
total energy: -4.4391 eV per atom
DOS at the Fermi energy: 0.200 states/eV/atom
distance to the lowest polymorph of the same formula: 0.0 meV/atom
energy relative to the elements, uncorrected: -524 kJ/mol of formula units